# 1
The following is a PBE calculation of LaErLuPu after structural relaxation, from Alexandria.

Results
Its symmetry is F-43m (216). Its crystal system is cubic. The formation energy is 0.80 eV/f.u. The calculation puts the calculated total energy at -27.54 eV for the cell shown.

Cell lengths 5.626, 5.626, 5.626 Å; angles 60.00, 60.00, 60.00 degrees
Last column: magnetic moment on the atom in μB.
Positions (direct):
Lu (0.750, 0.750, 0.750)  0.08
Er (0.250, 0.250, 0.250)  0.11
La (0.500, 0.500, 0.500)  -0.03
Pu (0.000, 0.000, 0.000)  5.47

***

# 2
The following is a PBE calculation of LaSmErLu after structural relaxation, from Alexandria.

Results
Its symmetry is F-43m (216). Its crystal system is cubic. The formation energy is 0.34 eV/f.u. The calculation puts the calculated total energy at -18.39 eV for the cell shown.

Cell lengths 5.721, 5.721, 5.721 Å; angles 60.00, 60.00, 60.00 degrees
Positions (direct):
La (0.250, 0.250, 0.250)
Er (0.000, 0.000, 0.000)
Sm (0.750, 0.750, 0.750)
Lu (0.500, 0.500, 0.500)

***

# 3
The following is a PBE calculation of LaTbErLu after structural relaxation, from Alexandria.

Results
Its symmetry is F-43m (216). Its crystal system is cubic. The formation energy is 0.37 eV/f.u. The calculation puts the calculated total energy at -18.27 eV for the cell shown.

Cell lengths 5.696, 5.696, 5.696 Å; angles 60.00, 60.00, 60.00 degrees
Positions (direct):
Er (0.000, 0.000, 0.000)
Lu (0.500, 0.500, 0.500)
Tb (0.750, 0.750, 0.750)
La (0.250, 0.250, 0.250)

***

# 4
The following is a PBE calculation of LaErLuTh after structural relaxation, from Alexandria.

Results
Its symmetry is F-43m (216). Its crystal system is cubic. The formation energy is 0.38 eV/f.u. The calculation puts the calculated total energy at -21.05 eV for the cell shown.

Cell lengths 5.680, 5.680, 5.680 Å; angles 60.00, 60.00, 60.00 degrees
Positions (direct):
Lu (0.000, 0.000, 0.000)
Er (0.500, 0.500, 0.500)
La (0.750, 0.750, 0.750)
Th (0.250, 0.250, 0.250)